Record 1
Entry from Alexandria: a relaxed LaRu2 crystal (PBE-GGA).

a b c (Å): 5.737 4.740 8.457
angles (deg): 90.00 90.00 90.00
Element x y z (fractional)
La  0.177  0.250  0.107
La  0.323  0.750  0.607
La  0.677  0.250  0.393
La  0.823  0.750  0.893
Ru  0.007  0.250  0.748
Ru  0.157  0.250  0.456
Ru  0.343  0.750  0.956
Ru  0.493  0.750  0.248
Ru  0.507  0.250  0.752
Ru  0.657  0.250  0.044
Ru  0.843  0.750  0.544
Ru  0.993  0.750  0.252

**Formation energy from the elements**: 295 meV per atom
**Spin magnetization**: 0.0 Bohr magnetons per cell
**Crystal system**: orthorhombic

Record 2
Entry from Alexandria: a relaxed Cd2TeP crystal (PBE-GGA).

a b c (Å): 4.732 4.732 4.154
angles (deg): 90.00 90.00 90.00
Element x y z (fractional)
Cd  0.000  0.500  0.000
Cd  0.500  0.000  0.000
Te  0.000  0.000  0.500
P  0.500  0.500  0.500

**E above lowest polymorph**: 424 meV per atom
**Spin magnetization**: 0.0 Bohr magnetons per cell
**Formation energy from raw total energies**: 0.358 eV/atom
**Crystal system**: tetragonal

Record 3
Entry from Alexandria: a relaxed Y3Er6Tm2Th crystal (PBE-GGA).

a b c (Å): 6.109 6.109 11.705
angles (deg): 95.00 95.00 119.98
Element x y z (fractional)
Y  0.000  0.000  0.000
Y  0.333  0.667  0.000
Y  0.667  0.333  0.000
Er  0.086  0.417  0.252
Er  0.253  0.253  0.748
Er  0.417  0.086  0.252
Er  0.583  0.914  0.748
Er  0.747  0.747  0.252
Er  0.914  0.583  0.748
Tm  0.167  0.833  0.500
Tm  0.833  0.167  0.500
Th  0.500  0.500  0.500

**Formation energy from the elements**: 26 meV per atom
**Spin magnetization**: 0.0 Bohr magnetons per cell
**Crystal system**: monoclinic

Record 4
Entry from Alexandria: a relaxed CsNaSn3 crystal (PBE-GGA).

a b c (Å): 5.725 5.725 5.725
angles (deg): 90.00 90.00 90.00
Element x y z (fractional)
Cs  0.000  0.000  0.000
Na  0.500  0.500  0.500
Sn  0.000  0.500  0.500
Sn  0.500  0.000  0.500
Sn  0.500  0.500  0.000

**Formation energy from the elements**: 338 meV per atom
**E above lowest polymorph**: 0 meV per atom
**Spin magnetization**: 0.0 Bohr magnetons per cell
**Crystal system**: cubic

Number 1: uncorrected energy -7.531 eV per atom. Number 2: uncorrected energy -2.238 eV per atom. Number 3: uncorrected energy -5.235 eV per atom. Number 4: uncorrected energy -2.499 eV per atom.